(1)
# GaB2Sb2

A relaxed structure of GaB2Sb2 (PBE-GGA, Alexandria).

Lattice parameters (Å, degrees): 7.512 7.512 3.369 90.00 90.00 90.00
Sites, in units of the cell vectors:
Ga1 0.000 0.000 0.000
Ga2 0.500 0.500 0.000
B1 0.077 0.423 0.500
B2 0.423 0.923 0.500
B3 0.577 0.077 0.500
B4 0.923 0.577 0.500
Sb1 0.168 0.668 0.000
Sb2 0.332 0.168 0.000
Sb3 0.668 0.832 0.000
Sb4 0.832 0.332 0.000

The value obtained for the density is 5.85 g cm⁻³. Its formation energy (no corrections) is 0.9954 eV per atom. The calculation puts the total magnetization at 0.00 Bohr magnetons per cell. Its total energy is -0.14442 hartree per atom. Its offset from the most stable computed form is 1.61 eV/f.u.

---

(2)
# GaB3Sb

A relaxed structure of GaB3Sb (PBE-GGA, Alexandria).

Lattice parameters (Å, degrees): 4.230 4.230 4.230 90.00 90.00 90.00
Sites, in units of the cell vectors:
Ga1 0.000 0.000 0.000
B1 0.000 0.000 0.500
B2 0.000 0.500 0.000
B3 0.500 0.000 0.000
Sb1 0.500 0.500 0.500

The value obtained for the density is 4.91 g cm⁻³. Its formation energy (no corrections) is 1.7647 eV per atom. The calculation puts the total magnetization at 0.00 Bohr magnetons per cell. Its total energy is -0.13493 hartree per atom. Its offset from the most stable computed form is 0.00 eV/f.u.

---

(3)
# GaB2Sb2

A relaxed structure of GaB2Sb2 (PBE-GGA, Alexandria).

Lattice parameters (Å, degrees): 7.622 7.622 7.622 151.52 151.52 40.71
Sites, in units of the cell vectors:
Ga1 0.000 0.000 0.000
B1 0.250 0.750 0.500
B2 0.750 0.250 0.500
Sb1 0.354 0.354 0.000
Sb2 0.646 0.646 0.000

The value obtained for the density is 5.54 g cm⁻³. Its formation energy (no corrections) is 0.8621 eV per atom. The calculation puts the total magnetization at 0.00 Bohr magnetons per cell. Its total energy is -0.14932 hartree per atom. Its offset from the most stable computed form is 0.94 eV/f.u.

---

(4)
# GaB2Sb2

A relaxed structure of GaB2Sb2 (PBE-GGA, Alexandria).

Lattice parameters (Å, degrees): 5.183 5.183 5.183 126.87 126.87 78.47
Sites, in units of the cell vectors:
Ga1 0.000 0.000 0.000
B1 0.393 0.393 0.000
B2 0.607 0.607 0.000
Sb1 0.250 0.750 0.500
Sb2 0.750 0.250 0.500

The value obtained for the density is 6.44 g cm⁻³. Its formation energy (no corrections) is 0.7449 eV per atom. The calculation puts the total magnetization at 0.00 Bohr magnetons per cell. Its total energy is -0.15363 hartree per atom. Its offset from the most stable computed form is 0.35 eV/f.u.

---

(5)
# GaB2Sb2

A relaxed structure of GaB2Sb2 (PBE-GGA, Alexandria).

Lattice parameters (Å, degrees): 7.217 7.217 3.701 90.00 90.00 90.00
Sites, in units of the cell vectors:
Ga1 0.000 0.000 0.000
Ga2 0.500 0.500 0.000
B1 0.080 0.420 0.000
B2 0.420 0.920 0.000
B3 0.580 0.080 0.000
B4 0.920 0.580 0.000
Sb1 0.210 0.290 0.500
Sb2 0.290 0.790 0.500
Sb3 0.710 0.210 0.500
Sb4 0.790 0.710 0.500

The value obtained for the density is 5.77 g cm⁻³. Its formation energy (no corrections) is 0.6741 eV per atom. The calculation puts the total magnetization at 0.00 Bohr magnetons per cell. Its total energy is -0.15623 hartree per atom. Its offset from the most stable computed form is 0.00 eV/f.u.

---

(6)
# GaBSb2

A relaxed structure of GaBSb2 (PBE-GGA, Alexandria).

Lattice parameters (Å, degrees): 6.950 6.950 6.950 130.84 130.84 72.07
Sites, in units of the cell vectors:
Ga1 0.000 0.000 0.000
Ga2 0.750 0.250 0.500
B1 0.250 0.750 0.500
B2 0.500 0.500 0.000
Sb1 0.175 0.625 0.050
Sb2 0.375 0.425 0.550
Sb3 0.575 0.125 0.950
Sb4 0.875 0.825 0.450

The value obtained for the density is 5.73 g cm⁻³. Its formation energy (no corrections) is 0.1804 eV per atom. The calculation puts the total magnetization at 0.00 Bohr magnetons per cell. Its total energy is -0.15828 hartree per atom. Its offset from the most stable computed form is 0.00 eV/f.u.

---

(7)
# ScGaB2Sb

A relaxed structure of ScGaB2Sb (PBE-GGA, Alexandria).

Lattice parameters (Å, degrees): 4.492 4.492 5.193 90.00 90.00 90.00
Sites, in units of the cell vectors:
Sc1 0.000 0.000 0.000
Ga1 0.000 0.000 0.500
B1 0.000 0.500 0.000
B2 0.500 0.000 0.000
Sb1 0.500 0.500 0.500

The value obtained for the density is 4.09 g cm⁻³. Its formation energy (no corrections) is 1.4212 eV per atom. The calculation puts the total magnetization at 0.00 Bohr magnetons per cell. Its total energy is -0.14501 hartree per atom.

---

(8)
# ScGaB3

A relaxed structure of ScGaB3 (PBE-GGA, Alexandria).

Lattice parameters (Å, degrees): 4.480 4.480 4.480 90.00 90.00 90.00
Sites, in units of the cell vectors:
Sc1 0.000 0.000 0.000
Ga1 0.500 0.500 0.500
B1 0.000 0.000 0.500
B2 0.000 0.500 0.000
B3 0.500 0.000 0.000

The value obtained for the density is 2.72 g cm⁻³. The calculation puts the total magnetization at 0.00 Bohr magnetons per cell. Its formation energy is 190.4 kJ/mol of atoms. Its total energy is -0.14349 hartree per atom. Its offset from the most stable computed form is 3.62 eV/f.u.